(1)
A geometry-optimized YIrPb2O6 structure. Source: OQMD via LeMat-Bulk, functional PBE.

Cell lengths 5.778, 5.778, 8.347 Å; angles 90.00, 90.00, 90.00 degrees
Space group I4/m (No. 87)
Inequivalent atoms, fractional coordinates:
1 Y 0.000 0.000 0.000
2 Ir 0.000 0.000 0.500
3 Pb 0.000 0.500 0.250
4 O 0.000 0.000 0.265
5 O 0.175 0.291 0.500

Output
M_tot = 1.23 μB/f.u.
Energy above the most stable polymorph in this dataset = 12 meV/atom

(2)
A geometry-optimized AlTeW structure. Source: OQMD via LeMat-Bulk, functional PBE.

Cell lengths 6.312, 6.312, 6.312 Å; angles 90.00, 90.00, 90.00 degrees
Space group F-43m (No. 216)
Inequivalent atoms, fractional coordinates:
1 Al 0.000 0.000 0.000
2 Te 0.250 0.250 0.750
3 W 0.250 0.250 0.250

Output
M_tot = 0.02 μB/f.u.
Energy above the most stable polymorph in this dataset = 376 meV/atom

(3)
A geometry-optimized BaHfAg structure. Source: OQMD via LeMat-Bulk, functional PBE.

Cell lengths 7.119, 7.119, 7.119 Å; angles 90.00, 90.00, 90.00 degrees
Space group F-43m (No. 216)
Inequivalent atoms, fractional coordinates:
1 Ba 0.000 0.000 0.000
2 Hf 0.250 0.250 0.750
3 Ag 0.000 0.000 0.500

Output
M_tot = 0.00 μB/f.u.
Energy above the most stable polymorph in this dataset = 0 meV/atom

(4)
A geometry-optimized PrGdZn6Ge3 structure. Source: OQMD via LeMat-Bulk, functional PBE.

Cell lengths 4.079, 13.251, 7.649 Å; angles 90.00, 90.00, 90.00 degrees
Space group Pmm2 (No. 25)
Inequivalent atoms, fractional coordinates:
1 Pr 0.000 0.167 0.000
2 Gd 0.000 0.334 0.499
3 Zn 0.000 0.000 0.310
4 Zn 0.000 0.095 0.593
5 Zn 0.000 0.406 0.096
6 Zn 0.000 0.500 0.809
7 Zn 0.500 0.000 0.786
8 Zn 0.500 0.145 0.356
9 Zn 0.500 0.357 0.855
10 Zn 0.500 0.500 0.289
11 Ge 0.500 0.000 0.117
12 Ge 0.500 0.194 0.688
13 Ge 0.500 0.310 0.196
14 Ge 0.500 0.500 0.614

Output
M_tot = 0.00 μB/f.u.
Raw total energy = -3.22 eV per atom

(5)
A geometry-optimized InCo9 structure. Source: OQMD via LeMat-Bulk, functional PBE.

Cell lengths 2.544, 2.544, 46.539 Å; angles 90.00, 90.00, 90.00 degrees
Space group P4/nmm (No. 129, origin choice 2)
Inequivalent atoms, fractional coordinates:
1 In 0.250 0.250 0.149
2 Co 0.250 0.250 0.230
3 Co 0.250 0.250 0.301
4 Co 0.250 0.250 0.373
5 Co 0.250 0.250 0.446
6 Co 0.250 0.250 0.518
7 Co 0.250 0.250 0.591
8 Co 0.250 0.250 0.663
9 Co 0.250 0.250 0.735
10 Co 0.250 0.250 0.805

Output
M_tot = 2.75 μB/f.u.
Raw total energy = -6.46 eV per atom

(6)
A geometry-optimized BeAlFeSb structure. Source: OQMD via LeMat-Bulk, functional PBE.

Cell lengths 6.088, 6.088, 6.088 Å; angles 90.00, 90.00, 90.00 degrees
Space group F-43m (No. 216)
Inequivalent atoms, fractional coordinates:
1 Be 0.000 0.000 0.000
2 Al 0.250 0.250 0.250
3 Fe 0.000 0.000 0.500
4 Sb 0.250 0.250 0.750

Output
M_tot = 0.02 μB/f.u.
Energy above the most stable polymorph in this dataset = 0 meV/atom

(7)
A geometry-optimized Ta3NiN2 structure. Source: OQMD via LeMat-Bulk, functional PBE.

Cell lengths 3.0688, 3.0688, 18.2756 Å; angles 90.00, 90.00, 120.00 degrees
Space group P6_3/mmc (No. 194)
Inequivalent atoms, fractional coordinates:
1 Ta 0.0000 0.0000 0.0000
2 Ta 0.3333 0.6667 0.1405
3 Ni 0.0000 0.0000 0.2500
4 N 0.3333 0.6667 0.5714

Output
M_tot = 0.03 μB/f.u.
Raw total energy = -10.22 eV per atom

(8)
A geometry-optimized Tl3Cd structure. Source: OQMD via LeMat-Bulk, functional PBE.

Cell lengths 12.372, 12.372, 6.214 Å; angles 90.00, 90.00, 90.00 degrees
Space group P4_2/nbc (No. 133, origin choice 2)
Inequivalent atoms, fractional coordinates:
1 Tl 0.042 0.042 0.250
2 Tl 0.097 0.750 0.000
3 Tl 0.158 0.158 0.750
4 Cd 0.046 0.750 0.500

Output
Raw total energy = -1.96 eV per atom

The V results, record by record, are as follows: 278.6 251.5 360.7 413.4 301.3 225.6 149.1 951.2 Å³ per cell.